Material: GaPPd3
Method: DFT, PBE-GGA
State: optimized geometry

The total magnetic moment comes out at 0.00 μB/cell. The calculated total energy is -4.9146 eV per atom. The formation energy comes out at -0.112 eV per atom.

It has space group Pm-3m (No. 221), with a = 4.510 Å, b = 4.510 Å, c = 4.510 Å, α = 90.00°, β = 90.00° and γ = 90.00°. The asymmetric unit holds Ga at (0.000, 0.000, 0.000), P at (0.500, 0.500, 0.500) and Pd at (0.000, 0.500, 0.500).